1) VASP calculation (PBE) on crystalline LaN2O2 at its relaxed geometry.

Summary:
* crystal system: tetragonal
* space-group type: P4/mmm, No. 123

a = 4.442 Å, b = 4.442 Å, c = 5.443 Å
α = 90.00°, β = 90.00°, γ = 90.00°
Fractional coordinates of all 5 atoms:
La  0.000  0.000  0.000
N  0.000  0.000  0.500
N  0.500  0.500  0.500
O  0.000  0.500  0.000
O  0.500  0.000  0.000

2) VASP calculation (PBE) on crystalline LaN2O2 at its relaxed geometry.

Summary:
* crystal system: tetragonal
* space-group type: P4/mmm, No. 123

a = 3.914 Å, b = 3.914 Å, c = 3.510 Å
α = 90.00°, β = 90.00°, γ = 90.00°
Fractional coordinates of all 5 atoms:
La  0.000  0.000  0.000
N  0.500  0.500  0.000
N  0.500  0.500  0.500
O  0.000  0.500  0.500
O  0.500  0.000  0.500

3) VASP calculation (PBE) on crystalline LaN2O2 at its relaxed geometry.

Summary:
* crystal system: tetragonal
* space-group type: P4/mmm, No. 123

a = 3.659 Å, b = 3.659 Å, c = 4.173 Å
α = 90.00°, β = 90.00°, γ = 90.00°
Fractional coordinates of all 5 atoms:
La  0.000  0.000  0.000
N  0.000  0.500  0.500
N  0.500  0.000  0.500
O  0.500  0.500  0.000
O  0.500  0.500  0.500

Need the numbers? Relative energies in meV per atom: 1) 857; 2) 0; 3) 520.

1) VASP calculation (PBE) on crystalline LaP2NO at its relaxed geometry.

Summary:
* crystal system: tetragonal
* space-group type: P4/mmm, No. 123

a = 6.109 Å, b = 6.109 Å, c = 4.275 Å
α = 90.00°, β = 90.00°, γ = 90.00°
Fractional coordinates of all 5 atoms:
La  0.000  0.000  0.000
P  0.000  0.500  0.000
P  0.500  0.000  0.000
N  0.500  0.500  0.500
O  0.000  0.000  0.500

2) VASP calculation (PBE) on crystalline LaP2NO at its relaxed geometry.

Summary:
* crystal system: tetragonal
* space-group type: P4/mmm, No. 123

a = 3.662 Å, b = 3.662 Å, c = 5.925 Å
α = 90.00°, β = 90.00°, γ = 90.00°
Fractional coordinates of all 5 atoms:
La  0.000  0.000  0.000
P  0.000  0.500  0.500
P  0.500  0.000  0.500
N  0.500  0.500  0.500
O  0.500  0.500  0.000

Need the numbers? Relative energies in meV per atom: 1) 1642; 2) 0.

1) VASP calculation (PBE) on crystalline LaSe2NO at its relaxed geometry.

Summary:
* crystal system: tetragonal
* space-group type: P4/mmm, No. 123

a = 6.091 Å, b = 6.091 Å, c = 4.298 Å
α = 90.00°, β = 90.00°, γ = 90.00°
Fractional coordinates of all 5 atoms:
La  0.000  0.000  0.000
Se  0.000  0.500  0.000
Se  0.500  0.000  0.000
N  0.000  0.000  0.500
O  0.500  0.500  0.500

2) VASP calculation (PBE) on crystalline LaSe2NO at its relaxed geometry.

Summary:
* crystal system: tetragonal
* space-group type: P4/mmm, No. 123

a = 4.174 Å, b = 4.174 Å, c = 4.982 Å
α = 90.00°, β = 90.00°, γ = 90.00°
Fractional coordinates of all 5 atoms:
La  0.000  0.000  0.000
Se  0.000  0.500  0.500
Se  0.500  0.000  0.500
N  0.500  0.500  0.000
O  0.500  0.500  0.500

Need the numbers? Relative energies in meV per atom: 1) 965; 2) 0.

1) VASP calculation (PBE) on crystalline LaTe2NO at its relaxed geometry.

Summary:
* crystal system: tetragonal
* space-group type: P4/mmm, No. 123

a = 4.400 Å, b = 4.400 Å, c = 5.514 Å
α = 90.00°, β = 90.00°, γ = 90.00°
Fractional coordinates of all 5 atoms:
La  0.000  0.000  0.000
Te  0.000  0.500  0.500
Te  0.500  0.000  0.500
N  0.500  0.500  0.000
O  0.500  0.500  0.500

2) VASP calculation (PBE) on crystalline LaTe2NO at its relaxed geometry.

Summary:
* crystal system: tetragonal
* space-group type: P4/mmm, No. 123

a = 6.598 Å, b = 6.598 Å, c = 3.984 Å
α = 90.00°, β = 90.00°, γ = 90.00°
Fractional coordinates of all 5 atoms:
La  0.000  0.000  0.000
Te  0.000  0.500  0.000
Te  0.500  0.000  0.000
N  0.000  0.000  0.500
O  0.500  0.500  0.500

Need the numbers? Relative energies in meV per atom: 1) 0; 2) 771.